A relaxed AcNdPt2 crystal, computed with PBE.

Calculated values
Space group = Amm2
Calculated density = 12.1 g/cm³
ΔE_f = -1138 meV per atom

abc: 4.627 5.960 5.960
angles: 39.60 90.00 90.00
Positions (direct):
Ac  0.000  0.000  0.000
Nd  0.500  0.729  0.729
Pt  0.000  0.273  0.273
Pt  0.500  0.452  0.452

A relaxed MnZn2Cr crystal, computed with PBE.

Calculated values
Space group = Cmmm
Calculated density = 7.6 g/cm³
ΔE_f = 179 meV per atom

abc: 2.575 2.575 7.863
angles: 90.00 90.00 90.62
Positions (direct):
Mn  0.000  0.000  0.000
Zn  0.500  0.500  0.249
Zn  0.500  0.500  0.751
Cr  0.000  0.000  0.500

A relaxed Ac4Mg2Cd crystal, computed with PBE.

Calculated values
Space group = I4/mmm
Calculated density = 6.6 g/cm³
ΔE_f = -13 meV per atom

abc: 7.054 7.054 7.054
angles: 109.24 109.24 109.94
Positions (direct):
Ac  0.000  0.000  0.500
Ac  0.000  0.500  0.000
Ac  0.500  0.000  0.000
Ac  0.500  0.500  0.500
Mg  0.000  0.500  0.500
Mg  0.500  0.000  0.500
Cd  0.000  0.000  0.000

A relaxed CeScU crystal, computed with PBE.

Calculated values
Space group = P-6m2
Calculated density = 10.0 g/cm³
ΔE_f = 242 meV per atom

abc: 5.160 5.160 3.033
angles: 90.00 90.00 120.00
Positions (direct):
Ce  0.000  0.000  0.000
Sc  0.333  0.667  0.500
U  0.667  0.333  0.000

A relaxed CdNi2Te crystal, computed with PBE.

Calculated values
Space group = C2/m
Calculated density = 8.4 g/cm³
Formation energy without anion corrections = 181 meV/atom

abc: 4.237 4.237 5.518
angles: 102.11 102.11 46.77
Positions (direct):
Cd  0.000  0.000  0.000
Ni  0.243  0.243  0.717
Ni  0.757  0.757  0.283
Te  0.500  0.500  0.500

A relaxed La4Dy3Ho4 crystal, computed with PBE.

Calculated values
Space group = Immm
Calculated density = 7.5 g/cm³
ΔE_f = 123 meV per atom

abc: 12.134 12.134 12.134
angles: 162.89 133.89 49.53
Positions (direct):
La  0.024  0.855  0.170
La  0.315  0.145  0.170
La  0.685  0.855  0.830
La  0.976  0.145  0.830
Dy  0.000  0.500  0.500
Dy  0.396  0.396  0.000
Dy  0.604  0.604  0.000
Ho  0.265  0.765  0.500
Ho  0.315  0.000  0.315
Ho  0.685  0.000  0.685
Ho  0.735  0.235  0.500

A relaxed Zr2Tl2Sb crystal, computed with PBE.

Calculated values
Space group = P4/mbm
Calculated density = 9.5 g/cm³
Formation energy without anion corrections = 187 meV/atom

abc: 7.860 7.860 4.037
angles: 90.00 90.00 90.00
Positions (direct):
Zr  0.170  0.330  0.000
Zr  0.330  0.830  0.000
Zr  0.670  0.170  0.000
Zr  0.830  0.670  0.000
Tl  0.133  0.633  0.500
Tl  0.367  0.133  0.500
Tl  0.633  0.867  0.500
Tl  0.867  0.367  0.500
Sb  0.000  0.000  0.500
Sb  0.500  0.500  0.500

A relaxed Ba3ZrPd2O9 crystal, computed with PBE.

Calculated values
Space group = P-3m1
Calculated density = 6.7 g/cm³
Formation energy without anion corrections = -1924 meV/atom

abc: 5.849 5.849 7.198
angles: 90.00 90.00 120.00
Positions (direct):
Ba  0.000  0.000  0.000
Ba  0.333  0.667  0.684
Ba  0.667  0.333  0.316
Zr  0.000  0.000  0.500
Pd  0.333  0.667  0.169
Pd  0.667  0.333  0.831
O  0.000  0.500  0.000
O  0.169  0.338  0.331
O  0.169  0.831  0.331
O  0.338  0.169  0.669
O  0.500  0.000  0.000
O  0.500  0.500  0.000
O  0.662  0.831  0.331
O  0.831  0.169  0.669
O  0.831  0.662  0.669